# 1
A relaxed structure of GdAgHgGe. Source: the Alexandria database, functional PBE.

Results
As for the formation energy: -340 meV/atom. The symmetry is F-43m, No. 216.

Cell: 4.988 4.988 4.988 Å, 60.00 60.00 60.00°
Atoms (fractional coordinates):
1 Gd 0.000 0.000 0.000
2 Ag 0.500 0.500 0.500
3 Hg 0.750 0.750 0.750
4 Ge 0.250 0.250 0.250

***

# 2
A relaxed structure of GdHoAgGe. Source: the Alexandria database, functional PBE.

Results
As for the formation energy: -539 meV/atom. The symmetry is F-43m, No. 216.

Cell: 5.092 5.092 5.092 Å, 60.00 60.00 60.00°
Atoms (fractional coordinates):
1 Gd 0.000 0.000 0.000
2 Ho 0.500 0.500 0.500
3 Ag 0.250 0.250 0.250
4 Ge 0.750 0.750 0.750

***

# 3
A relaxed structure of LaGdAgGe. Source: the Alexandria database, functional PBE.

Results
As for the formation energy: -537 meV/atom. The symmetry is F-43m, No. 216.

Cell: 5.249 5.249 5.249 Å, 60.00 60.00 60.00°
Atoms (fractional coordinates):
1 La 0.000 0.000 0.000
2 Gd 0.500 0.500 0.500
3 Ag 0.250 0.250 0.250
4 Ge 0.750 0.750 0.750

***

# 4
A relaxed structure of LiGdAgGe. Source: the Alexandria database, functional PBE.

Results
As for the formation energy: -430 meV/atom. The symmetry is F-43m, No. 216.

Cell: 4.878 4.878 4.878 Å, 60.00 60.00 60.00°
Atoms (fractional coordinates):
1 Li 0.000 0.000 0.000
2 Gd 0.500 0.500 0.500
3 Ag 0.250 0.250 0.250
4 Ge 0.750 0.750 0.750

***

# 5
A relaxed structure of GdMgAgGe. Source: the Alexandria database, functional PBE.

Results
As for the formation energy: -422 meV/atom. The symmetry is F-43m, No. 216.

Cell: 4.949 4.949 4.949 Å, 60.00 60.00 60.00°
Atoms (fractional coordinates):
1 Gd 0.000 0.000 0.000
2 Mg 0.500 0.500 0.500
3 Ag 0.750 0.750 0.750
4 Ge 0.250 0.250 0.250

***

# 6
A relaxed structure of NdGdAgGe. Source: the Alexandria database, functional PBE.

Results
As for the formation energy: -532 meV/atom. The symmetry is F-43m, No. 216.

Cell: 5.193 5.193 5.193 Å, 60.00 60.00 60.00°
Atoms (fractional coordinates):
1 Nd 0.000 0.000 0.000
2 Gd 0.500 0.500 0.500
3 Ag 0.250 0.250 0.250
4 Ge 0.750 0.750 0.750

***

# 7
A relaxed structure of GdPaAgGe. Source: the Alexandria database, functional PBE.

Results
As for the formation energy: -177 meV/atom. The symmetry is F-43m, No. 216.

Cell: 5.126 5.126 5.126 Å, 60.00 60.00 60.00°
Atoms (fractional coordinates):
1 Gd 0.000 0.000 0.000
2 Pa 0.500 0.500 0.500
3 Ag 0.750 0.750 0.750
4 Ge 0.250 0.250 0.250

***

# 8
A relaxed structure of PmGdAgGe. Source: the Alexandria database, functional PBE.

Results
As for the formation energy: -538 meV/atom. The symmetry is F-43m, No. 216.

Cell: 5.172 5.172 5.172 Å, 60.00 60.00 60.00°
Atoms (fractional coordinates):
1 Pm 0.000 0.000 0.000
2 Gd 0.500 0.500 0.500
3 Ag 0.750 0.750 0.750
4 Ge 0.250 0.250 0.250

***

# 9
A relaxed structure of GdPuAgGe. Source: the Alexandria database, functional PBE.

Results
As for the formation energy: -363 meV/atom. The symmetry is F-43m, No. 216.

Cell: 5.125 5.125 5.125 Å, 60.00 60.00 60.00°
Atoms (fractional coordinates):
1 Gd 0.000 0.000 0.000
2 Pu 0.500 0.500 0.500
3 Ag 0.750 0.750 0.750
4 Ge 0.250 0.250 0.250

***

# 10
A relaxed structure of GdScAgGe. Source: the Alexandria database, functional PBE.

Results
As for the formation energy: -509 meV/atom. The symmetry is F-43m, No. 216.

Cell: 4.974 4.974 4.974 Å, 60.00 60.00 60.00°
Atoms (fractional coordinates):
1 Gd 0.000 0.000 0.000
2 Sc 0.500 0.500 0.500
3 Ag 0.750 0.750 0.750
4 Ge 0.250 0.250 0.250

***

# 11
A relaxed structure of SmGdAgGe. Source: the Alexandria database, functional PBE.

Results
As for the formation energy: -539 meV/atom. The symmetry is F-43m, No. 216.

Cell: 5.158 5.158 5.158 Å, 60.00 60.00 60.00°
Atoms (fractional coordinates):
1 Sm 0.000 0.000 0.000
2 Gd 0.500 0.500 0.500
3 Ag 0.250 0.250 0.250
4 Ge 0.750 0.750 0.750

***

# 12
A relaxed structure of SrGdAgGe. Source: the Alexandria database, functional PBE.

Results
As for the formation energy: -456 meV/atom. The symmetry is F-43m, No. 216.

Cell: 5.297 5.297 5.297 Å, 60.00 60.00 60.00°
Atoms (fractional coordinates):
1 Sr 0.000 0.000 0.000
2 Gd 0.500 0.500 0.500
3 Ag 0.750 0.750 0.750
4 Ge 0.250 0.250 0.250

***

# 13
A relaxed structure of TbGdAgGe. Source: the Alexandria database, functional PBE.

Results
As for the formation energy: -545 meV/atom. The symmetry is F-43m, No. 216.

Cell: 5.113 5.113 5.113 Å, 60.00 60.00 60.00°
Atoms (fractional coordinates):
1 Tb 0.000 0.000 0.000
2 Gd 0.500 0.500 0.500
3 Ag 0.750 0.750 0.750
4 Ge 0.250 0.250 0.250

***

# 14
A relaxed structure of GdAgH. Source: the Alexandria database, functional PBE.

Results
The symmetry is Cmcm, No. 63. For the total DFT energy (no corrections), the calculation gives -6.9248 eV/atom.

Cell: 5.055 5.055 6.783 Å, 90.00 90.00 142.32°
Atoms (fractional coordinates):
1 Gd 0.000 0.000 0.000
2 Gd 0.000 0.000 0.500
3 Ag 0.268 0.732 0.750
4 Ag 0.732 0.268 0.250
5 H 0.484 0.516 0.750
6 H 0.516 0.484 0.250

***

# 15
A relaxed structure of Gd3AgH. Source: the Alexandria database, functional PBE.

Results
The symmetry is Pm-3m, No. 221. For the total DFT energy (no corrections), the calculation gives -9.8817 eV/atom.

Cell: 4.855 4.855 4.855 Å, 90.00 90.00 90.00°
Atoms (fractional coordinates):
1 Gd 0.000 0.000 0.500
2 Gd 0.000 0.500 0.000
3 Gd 0.500 0.000 0.000
4 Ag 0.500 0.500 0.500
5 H 0.000 0.000 0.000